VASP calculation (PBE-GGA) on crystalline Pm4Nd5Tl at its relaxed geometry.

Calculated values
The density of states at the Fermi level is 28.7 states/eV per cell. The distance to the lowest polymorph of the same formula comes out at 100 meV per atom. The formation enthalpy at 0 K is 0.12 eV per atom.

Structure (CIF):
```
data_Pm4Nd5Tl
_chemical_formula_sum 'Pm8 Nd10 Tl2'
_cell_length_a 10.765
_cell_length_b 10.765
_cell_length_c 6.099
_cell_angle_alpha 90.00
_cell_angle_beta 90.00
_cell_angle_gamma 90.00
_space_group_name_H-M_alt 'I 4 m m'
_space_group_IT_number 107
_space_group_name_Hall 'I 4 -2'
loop_
_atom_site_label
_atom_site_fract_x
_atom_site_fract_y
_atom_site_fract_z
Pm1 0.000 0.314 0.000
Nd1 0.000 0.000 0.800
Nd2 0.187 0.187 0.513
Tl1 0.000 0.000 0.277
```